Entry 1:
# Ba2Ca3TlCu4O11

Crystalline Ba2Ca3TlCu4O11 at its relaxed geometry (GGA-PBEsol, Alexandria).

abc: 3.797 18.982 3.809
angles: 90.00 90.00 90.00
Space group Pmm2 (No. 25)
One atom of each set of equivalent atoms:
1 Ba 0.000 0.139 0.000
2 Ca 0.000 0.330 0.000
3 Ca 0.000 0.500 0.999
4 Tl 0.500 0.000 0.561
5 Cu 0.500 0.245 0.500
6 Cu 0.500 0.417 0.499
7 O 0.000 0.000 0.913
8 O 0.000 0.254 0.501
9 O 0.000 0.418 0.499
10 O 0.500 0.111 0.489
11 O 0.500 0.254 0.000
12 O 0.500 0.418 0.999

**Fermi-level density of states**: 0.232 states/eV per atom
**Total energy**: -5.93 eV/atom
**Total magnetic moment**: 0.0 μB/cell

---

Entry 2:
# Ba2Ca2Tl2Cu3O10

Crystalline Ba2Ca2Tl2Cu3O10 at its relaxed geometry (GGA-PBEsol, Alexandria).

abc: 36.419 3.828 3.815
angles: 90.00 96.01 90.00
Space group C2 (No. 5)
One atom of each set of equivalent atoms:
1 Ba 0.141 0.000 0.141
2 Ca 0.044 0.999 0.045
3 Tl 0.219 0.473 0.718
4 Cu 0.000 0.499 0.500
5 Cu 0.085 0.499 0.586
6 O 0.000 0.499 0.000
7 O 0.000 0.999 0.500
8 O 0.086 0.499 0.087
9 O 0.086 0.999 0.587
10 O 0.162 0.503 0.663
11 O 0.225 0.080 0.225

**Fermi-level density of states**: 0.155 states/eV per atom
**Total energy**: -5.77 eV/atom
**Total magnetic moment**: 0.0 μB/cell

---

Entry 3:
# Ba2Ca3Tl2Cu4O12

Crystalline Ba2Ca3Tl2Cu4O12 at its relaxed geometry (GGA-PBEsol, Alexandria).

abc: 3.855 3.855 42.751
angles: 90.00 90.00 90.00
Space group I4/mmm (No. 139)
One atom of each set of equivalent atoms:
1 Ba 0.000 0.000 0.155
2 Ca 0.000 0.000 0.000
3 Ca 0.000 0.000 0.074
4 Tl 0.000 0.000 0.277
5 Cu 0.000 0.000 0.391
6 Cu 0.000 0.000 0.463
7 O 0.000 0.000 0.326
8 O 0.000 0.500 0.037
9 O 0.000 0.500 0.109
10 O 0.000 0.500 0.250

**Fermi-level density of states**: 0.124 states/eV per atom
**Total energy**: -5.81 eV/atom
**Total magnetic moment**: 0.0 μB/cell

---

Entry 4:
# BaCa2CuSe

Crystalline BaCa2CuSe at its relaxed geometry (GGA-PBEsol, Alexandria).

abc: 6.581 6.581 5.720
angles: 90.00 90.00 90.00
Space group P4/mmm (No. 123)
One atom of each set of equivalent atoms:
1 Ba 0.000 0.000 0.000
2 Ca 0.000 0.500 0.000
3 Cu 0.500 0.500 0.500
4 Se 0.000 0.000 0.500

**Fermi-level density of states**: 0.944 states/eV per atom
**Total energy**: -2.09 eV/atom
**Total magnetic moment**: 1.1 μB/cell

---

Entry 5:
# BaCa2F

Crystalline BaCa2F at its relaxed geometry (GGA-PBEsol, Alexandria).

abc: 10.578 10.578 10.578
angles: 90.00 90.00 90.00
Space group Fd-3m (No. 227, origin choice 2)
One atom of each set of equivalent atoms:
1 Ba 0.125 0.125 0.125
2 Ca 0.000 0.000 0.500
3 F 0.125 0.125 0.625

**Fermi-level density of states**: 0.485 states/eV per atom
**Total energy**: -3.51 eV/atom
**Total magnetic moment**: 0.0 μB/cell

---

Entry 6:
# BaCaGaF7

Crystalline BaCaGaF7 at its relaxed geometry (GGA-PBEsol, Alexandria).

abc: 5.390 5.409 19.535
angles: 90.00 103.71 90.00
Space group P2/c (No. 13)
One atom of each set of equivalent atoms:
1 Ba 0.180 0.239 0.432
2 Ca 0.000 0.323 0.750
3 Ca 0.500 0.208 0.250
4 Ga 0.321 0.226 0.619
5 F 0.005 0.283 0.943
6 F 0.151 0.023 0.677
7 F 0.234 0.372 0.309
8 F 0.251 0.495 0.675
9 F 0.341 0.058 0.063
10 F 0.374 0.128 0.816
11 F 0.472 0.410 0.560

**Fermi-level density of states**: 0.000 states/eV per atom
**Total energy**: -5.57 eV/atom
**Total magnetic moment**: 0.1 μB/cell

---

Entry 7:
# BaCaNiF2

Crystalline BaCaNiF2 at its relaxed geometry (GGA-PBEsol, Alexandria).

abc: 4.839 4.839 4.549
angles: 90.00 90.00 90.00
Space group P4/mmm (No. 123)
One atom of each set of equivalent atoms:
1 Ba 0.000 0.000 0.000
2 Ca 0.500 0.500 0.000
3 Ni 0.500 0.500 0.500
4 F 0.000 0.500 0.500

**Fermi-level density of states**: 0.336 states/eV per atom
**Total energy**: -3.69 eV/atom
**Total magnetic moment**: 0.0 μB/cell

---

Entry 8:
# BaCaWF7

Crystalline BaCaWF7 at its relaxed geometry (GGA-PBEsol, Alexandria).

abc: 5.788 10.789 9.598
angles: 90.00 90.05 90.00
Space group P2_1/c (No. 14)
One atom of each set of equivalent atoms:
1 Ba 0.230 0.152 0.025
2 Ca 0.193 0.572 0.145
3 W 0.304 0.657 0.798
4 F 0.002 0.741 0.727
5 F 0.086 0.520 0.356
6 F 0.159 0.508 0.900
7 F 0.187 0.733 0.981
8 F 0.389 0.105 0.612
9 F 0.425 0.560 0.630
10 F 0.490 0.697 0.214

**Total energy**: -6.23 eV/atom
**Total magnetic moment**: 12.0 μB/cell

---

Entry 9:
# BaCaFePd2

Crystalline BaCaFePd2 at its relaxed geometry (GGA-PBEsol, Alexandria).

abc: 5.090 5.090 4.965
angles: 90.00 90.00 90.00
Space group P4/mmm (No. 123)
One atom of each set of equivalent atoms:
1 Ba 0.000 0.000 0.000
2 Ca 0.500 0.500 0.500
3 Fe 0.500 0.500 0.000
4 Pd 0.000 0.500 0.500

**Calculated formation energy**: 0.66 eV per atom
**Fermi-level density of states**: 1.154 states/eV per atom
**Total magnetic moment**: 2.6 μB/cell

---

Entry 10:
# BaCa3Ga

Crystalline BaCa3Ga at its relaxed geometry (GGA-PBEsol, Alexandria).

abc: 5.871 5.871 5.871
angles: 90.00 90.00 90.00
Space group Pm-3m (No. 221)
One atom of each set of equivalent atoms:
1 Ba 0.000 0.000 0.000
2 Ca 0.000 0.500 0.500
3 Ga 0.500 0.500 0.500

**Calculated formation energy**: -0.12 eV per atom
**Fermi-level density of states**: 0.976 states/eV per atom
**Total magnetic moment**: 0.0 μB/cell

---

Entry 11:
# BaCa2GaPb

Crystalline BaCa2GaPb at its relaxed geometry (GGA-PBEsol, Alexandria).

abc: 5.938 5.938 5.675
angles: 90.00 90.00 90.00
Space group P4/mmm (No. 123)
One atom of each set of equivalent atoms:
1 Ba 0.000 0.000 0.000
2 Ca 0.000 0.500 0.500
3 Ga 0.500 0.500 0.000
4 Pb 0.500 0.500 0.500

**Calculated formation energy**: 0.04 eV per atom
**Fermi-level density of states**: 1.001 states/eV per atom
**Total magnetic moment**: 0.0 μB/cell

---

Entry 12:
# BaCaScGa2

Crystalline BaCaScGa2 at its relaxed geometry (GGA-PBEsol, Alexandria).

abc: 5.294 5.294 5.451
angles: 90.00 90.00 90.00
Space group P4/mmm (No. 123)
One atom of each set of equivalent atoms:
1 Ba 0.000 0.000 0.000
2 Ca 0.500 0.500 0.000
3 Sc 0.000 0.000 0.500
4 Ga 0.000 0.500 0.500

**Calculated formation energy**: 0.24 eV per atom
**Fermi-level density of states**: 0.923 states/eV per atom
**Total magnetic moment**: 0.7 μB/cell